Entry 1:
VASP calculation (PBEsol) on CaLaNi4 after structural relaxation.

Unit cell a=5.047 b=5.047 c=5.047 alpha=60.00 beta=60.00 gamma=60.00
Fractional positions:
Ca 0.750 0.750 0.750
La 0.000 0.000 0.000
Ni 0.375 0.375 0.375
Ni 0.375 0.375 0.874
Ni 0.874 0.375 0.375
Ni 0.375 0.874 0.375

## Properties
ΔH_f (0 K): -0.270 eV/atom
Crystal system: cubic

Entry 2:
VASP calculation (PBEsol) on Ca3LaNi after structural relaxation.

Unit cell a=5.452 b=5.452 c=5.452 alpha=90.00 beta=90.00 gamma=90.00
Fractional positions:
Ni 0.000 0.000 0.000
Ca 0.000 0.500 0.000
Ca 0.000 0.000 0.500
Ca 0.500 0.000 0.000
La 0.500 0.500 0.500

## Properties
ΔH_f (0 K): 0.123 eV/atom
Crystal system: cubic

Entry 3:
VASP calculation (PBEsol) on CaLa2O2 after structural relaxation.

Unit cell a=4.110 b=4.110 c=9.190 alpha=102.92 beta=102.92 gamma=90.00
Site moments in Bohr magnetons follow the coordinates.
Fractional positions:
Ca 0.000 0.000 0.000  0.05
O 0.250 0.750 0.500  0.01
O 0.750 0.250 0.500  0.01
La 0.316 0.316 0.632  0.08
La 0.684 0.684 0.368  0.08

## Properties
Raw formation energy: -2.241 eV/atom
Crystal system: tetragonal

Entry 4:
VASP calculation (PBEsol) on CaLaP2O after structural relaxation.

Unit cell a=4.211 b=5.440 c=5.440 alpha=90.00 beta=90.00 gamma=90.00
Fractional positions:
P 0.000 0.000 0.500
P 0.000 0.500 0.000
Ca 0.500 0.500 0.500
O 0.500 0.000 0.000
La 0.000 0.000 0.000

## Properties
Raw formation energy: -0.642 eV/atom
Crystal system: tetragonal

Entry 5:
VASP calculation (PBEsol) on Ca2LaSbO6 after structural relaxation.

Unit cell a=5.662 b=5.959 c=8.226 alpha=90.00 beta=90.22 gamma=90.00
Fractional positions:
Ca 0.514 0.550 0.239
Ca 0.014 0.950 0.739
Ca 0.486 0.450 0.761
Ca 0.986 0.050 0.261
La 0.000 0.500 0.500
La 0.500 0.000 0.000
Sb 0.500 0.000 0.500
Sb 0.000 0.500 0.000
O 0.791 0.826 0.451
O 0.291 0.674 0.951
O 0.209 0.174 0.549
O 0.709 0.326 0.049
O 0.832 0.777 0.082
O 0.332 0.723 0.582
O 0.168 0.223 0.918
O 0.668 0.277 0.418
O 0.376 0.927 0.276
O 0.876 0.573 0.776
O 0.624 0.073 0.724
O 0.124 0.427 0.224

## Properties
Raw formation energy: -2.670 eV/atom
Crystal system: monoclinic

Entry 6:
VASP calculation (PBEsol) on Ca2La3Si3O13 after structural relaxation.

Unit cell a=7.054 b=9.593 c=9.593 alpha=120.00 beta=90.00 gamma=90.00
Site moments in Bohr magnetons follow the coordinates.
Fractional positions:
Ca 0.497 0.333 0.667  0.00
Ca 0.503 0.667 0.333  0.00
Ca 0.997 0.667 0.333  0.00
Ca 0.003 0.333 0.667  0.00
La 0.750 0.251 0.238  0.00
La 0.250 0.749 0.762  0.00
La 0.750 0.762 0.013  0.00
La 0.250 0.238 0.987  0.00
La 0.750 0.987 0.749  0.00
La 0.250 0.013 0.251  0.00
Si 0.750 0.030 0.403  0.00
Si 0.250 0.970 0.597  0.00
Si 0.750 0.597 0.627  0.00
Si 0.250 0.403 0.373  0.00
Si 0.750 0.373 0.970  0.00
Si 0.250 0.627 0.030  0.00
O 0.750 0.130 0.600  0.05
O 0.250 0.870 0.400  0.05
O 0.750 0.400 0.531  0.05
O 0.250 0.600 0.469  0.05
O 0.750 0.469 0.870  0.05
O 0.250 0.531 0.130  0.05
O 0.568 0.089 0.338  0.04
O 0.432 0.911 0.662  0.04
O 0.568 0.662 0.750  0.04
O 0.068 0.911 0.662  0.04
O 0.432 0.338 0.250  0.04
O 0.932 0.089 0.338  0.04
O 0.568 0.250 0.911  0.04
O 0.068 0.338 0.250  0.04
O 0.432 0.750 0.089  0.04
O 0.932 0.662 0.750  0.04
O 0.068 0.750 0.089  0.04
O 0.932 0.250 0.911  0.04
O 0.750 0.491 0.165  0.04
O 0.250 0.509 0.835  0.04
O 0.750 0.835 0.326  0.04
O 0.250 0.165 0.674  0.04
O 0.750 0.674 0.509  0.04
O 0.250 0.326 0.491  0.04
O 0.750 0.000 0.000  0.19
O 0.250 0.000 0.000  0.19

## Properties
Raw formation energy: -3.138 eV/atom
Crystal system: hexagonal

no.,E (eV per atom)
1,-5.621
2,-3.457
3,-6.906
4,-5.504
5,-7.237
6,-8.176